An optimized crystal structure of YFe2Te. Source: the Alexandria database, functional PBE.

Cell: 3.781 4.284 5.238 Å, 90.00 90.00 90.00°
Element x y z (fractional)
Y 0.000 0.000 0.000
Fe 0.500 0.500 0.217
Fe 0.500 0.500 0.783
Te 0.500 0.000 0.500

Properties
D(E_F)	1.09	states/eV per atom
total DFT energy (no corrections)	-6.65	eV/atom

An optimized crystal structure of YFe2Te. Source: the Alexandria database, functional PBE.

Cell: 5.820 5.820 5.820 Å, 41.22 41.22 41.22°
Element x y z (fractional)
Y 0.000 0.000 0.000
Fe 0.218 0.218 0.218
Fe 0.534 0.534 0.534
Te 0.799 0.799 0.799

Properties
D(E_F)	1.11	states/eV per atom
total DFT energy (no corrections)	-6.85	eV/atom

An optimized crystal structure of YFe2Te. Source: the Alexandria database, functional PBE.

Cell: 5.661 5.661 3.757 Å, 108.95 108.95 117.90°
Element x y z (fractional)
Y 0.000 0.000 0.000
Fe 0.000 0.500 0.500
Fe 0.500 0.000 0.500
Te 0.500 0.500 0.000

Properties
D(E_F)	0.94	states/eV per atom
total DFT energy (no corrections)	-6.37	eV/atom

An optimized crystal structure of YZrFeTe2. Source: the Alexandria database, functional PBE.

Cell: 5.227 5.227 4.494 Å, 90.00 90.00 90.00°
Element x y z (fractional)
Y 0.000 0.000 0.000
Zr 0.500 0.500 0.000
Fe 0.500 0.500 0.500
Te 0.000 0.500 0.500
Te 0.500 0.000 0.500

Properties
D(E_F)	1.16	states/eV per atom
total DFT energy (no corrections)	-6.01	eV/atom

An optimized crystal structure of ZnFeTe3. Source: the Alexandria database, functional PBE.

Cell: 5.260 5.260 5.260 Å, 90.00 90.00 90.00°
Element x y z (fractional)
Zn 0.000 0.000 0.000
Fe 0.500 0.500 0.500
Te 0.000 0.000 0.500
Te 0.000 0.500 0.000
Te 0.500 0.000 0.000

Properties
D(E_F)	1.69	states/eV per atom
total DFT energy (no corrections)	-2.93	eV/atom

An optimized crystal structure of ZnFe2Te. Source: the Alexandria database, functional PBE.

Cell: 4.873 4.873 4.873 Å, 135.73 128.17 70.48°
Element x y z (fractional)
Zn 0.000 0.000 0.000
Fe 0.245 0.745 0.500
Fe 0.755 0.255 0.500
Te 0.500 0.500 0.000

Properties
D(E_F)	1.06	states/eV per atom
total DFT energy (no corrections)	-4.95	eV/atom

An optimized crystal structure of Zn4FeTe. Source: the Alexandria database, functional PBE.

Cell: 5.195 5.195 5.195 Å, 60.00 60.00 60.00°
Element x y z (fractional)
Zn 0.124 0.124 0.124
Zn 0.124 0.124 0.629
Zn 0.124 0.629 0.124
Zn 0.629 0.124 0.124
Fe 0.750 0.750 0.750
Te 0.500 0.500 0.500

Properties
D(E_F)	0.84	states/eV per atom
total DFT energy (no corrections)	-2.45	eV/atom

An optimized crystal structure of ZnFeTe3. Source: the Alexandria database, functional PBE.

Cell: 5.067 5.067 5.067 Å, 90.00 90.00 90.00°
Element x y z (fractional)
Zn 0.000 0.000 0.000
Fe 0.500 0.500 0.500
Te 0.000 0.500 0.500
Te 0.500 0.000 0.500
Te 0.500 0.500 0.000

Properties
D(E_F)	1.73	states/eV per atom
total DFT energy (no corrections)	-3.31	eV/atom

An optimized crystal structure of ZnFe2Te. Source: the Alexandria database, functional PBE.

Cell: 9.304 9.304 9.304 Å, 155.70 155.70 34.64°
Element x y z (fractional)
Zn 0.000 0.000 0.000
Zn 0.750 0.250 0.500
Fe 0.088 0.625 0.963
Fe 0.375 0.338 0.463
Fe 0.662 0.125 0.037
Fe 0.875 0.912 0.537
Te 0.250 0.750 0.500
Te 0.500 0.500 0.000

Properties
D(E_F)	0.74	states/eV per atom
total DFT energy (no corrections)	-4.89	eV/atom

An optimized crystal structure of ZnFe2Te. Source: the Alexandria database, functional PBE.

Cell: 4.251 4.251 4.251 Å, 60.00 60.00 60.00°
Element x y z (fractional)
Zn 0.000 0.000 0.000
Fe 0.250 0.250 0.250
Fe 0.750 0.750 0.750
Te 0.500 0.500 0.500

Properties
D(E_F)	0.15	states/eV per atom
total DFT energy (no corrections)	-5.00	eV/atom

An optimized crystal structure of Zn2Fe2Te. Source: the Alexandria database, functional PBE.

Cell: 6.542 6.542 3.744 Å, 90.00 90.00 90.00°
Element x y z (fractional)
Zn 0.152 0.348 0.000
Zn 0.348 0.848 0.000
Zn 0.652 0.152 0.000
Zn 0.848 0.652 0.000
Fe 0.130 0.630 0.500
Fe 0.370 0.130 0.500
Fe 0.630 0.870 0.500
Fe 0.870 0.370 0.500
Te 0.000 0.000 0.500
Te 0.500 0.500 0.500

Properties
D(E_F)	0.41	states/eV per atom
total DFT energy (no corrections)	-4.28	eV/atom

An optimized crystal structure of ZnFeTe4. Source: the Alexandria database, functional PBE.

Cell: 6.322 6.322 6.322 Å, 60.00 60.00 60.00°
Element x y z (fractional)
Zn 0.000 0.000 0.000
Fe 0.750 0.750 0.750
Te 0.375 0.375 0.375
Te 0.375 0.375 0.875
Te 0.375 0.875 0.375
Te 0.875 0.375 0.375

Properties
D(E_F)	1.39	states/eV per atom
total DFT energy (no corrections)	-2.86	eV/atom

no.,magnetic moment (μB per atom),uncorrected formation energy (kJ/mol of formula units)
1,1.097,-8
2,0.790,-83
3,1.187,101
4,0.001,-30
5,0.697,434
6,1.256,147
7,0.365,195
8,0.000,254
9,1.207,170
10,0.000,130
11,0.830,117
12,0.684,496